An optimized crystal structure of CaY5Mo2O12, computed with GGA+U.

Values from the calculation:
D(E_F): 0.00 states/eV/atom
E above lowest polymorph: 44 meV/atom

a = 5.822 Å, b = 6.667 Å, c = 8.737 Å
α = 75.21°, β = 84.49°, γ = 115.68°
Sites, in units of the cell vectors:
O 0.219 0.308 0.151
O 0.157 0.212 0.844
O 0.648 0.191 0.148
O 0.215 0.680 0.757
O 0.636 0.273 0.830
O 0.433 0.689 0.465
O 0.607 0.266 0.479
O 0.087 0.245 0.483
O 0.788 0.784 0.858
O 0.877 0.841 0.166
O 0.912 0.776 0.534
O 0.337 0.815 0.079
Mo 0.304 0.107 0.043
Mo 0.746 0.010 0.977
Y 0.982 0.470 0.589
Y 0.528 0.590 0.725
Y 0.482 0.486 0.308
Y 0.804 0.042 0.353
Y 0.194 0.007 0.657
Ca 0.988 0.558 0.010